Entry 1:
SCAN TiCd3Re, single point on PBEsol structure; D(E_F) = 3.59 states/eV/cell; energy relative to the elements = 1.2792 eV/atom; total moment = 0.343 μB/atom; calculated total energy = -34.3949 eV/atom; V = 130.2 Å³ per cell
1.0
5.069 0.000 0.000
0.000 5.069 0.000
0.000 0.000 5.069
Ti Cd Re
1 3 1
Direct
0.000 0.000 0.000
0.000 0.500 0.500
0.500 0.000 0.500
0.500 0.500 0.000
0.500 0.500 0.500



Entry 2:
SCAN TlCdRe2, single point on PBEsol structure; D(E_F) = 3.02 states/eV/cell; energy relative to the elements = 1.0404 eV/atom; total moment = 0.000 μB/atom; calculated total energy = -60.2015 eV/atom; V = 69.2 Å³ per cell
1.0
-1.475 2.413 4.862
1.475 -2.413 4.862
1.475 2.413 -4.862
Tl Cd Re
1 1 2
Direct
0.000 0.000 0.000
0.500 0.500 0.000
0.249 0.749 0.500
0.751 0.251 0.500